# MgTa2Ti2

An optimized crystal structure of MgTa2Ti2 (PBE, Alexandria).

Cell lengths 7.303, 7.303, 3.465 Å; angles 90.00, 90.00, 90.00 degrees
Space group P4/mbm (No. 127)
Asymmetric unit:
1 Mg 0.000 0.000 0.000 [2 per cell]
2 Ta 0.162 0.338 0.500 [4 per cell]
3 Ti 0.132 0.632 0.000 [4 per cell]

Total magnetic moment in μB per formula unit: 0.00
ΔE to the lowest computed polymorph in kJ per mole of atoms: 0.0
Calculated volume in Å³/atom: 18.48
E in eV per atom: -7.96
Crystal system: tetragonal